[1]
First-principles (PBE) data for a relaxed structure of CaAc2Sm, as listed in Alexandria via LeMat-Bulk.

Cell lengths 3.896, 3.896, 10.900 Å; angles 90.00, 90.00, 90.00 degrees
Sites, in units of the cell vectors:
Ca 0.000 0.000 0.000
Ac 0.500 0.500 0.264
Ac 0.500 0.500 0.736
Sm 0.000 0.000 0.500

Calculated values
Magnetization in μB/atom: 0.0000
DOS at the Fermi energy in states/eV/cell: 6.14
ΔE_f in eV/atom: 0.035
Electronic total energy in Ry per atom: -0.2719
Energy above the lowest structure with this stoichiometry in meV per atom: 13

=====

[2]
First-principles (PBE) data for a relaxed structure of LaHo2Te3, as listed in Alexandria via LeMat-Bulk.

Cell lengths 7.673, 7.673, 7.673 Å; angles 146.65, 131.88, 59.81 degrees
Sites, in units of the cell vectors:
La 0.000 0.000 0.000
Ho 0.342 0.342 0.000
Ho 0.658 0.658 0.000
Te 0.179 0.679 0.500
Te 0.500 0.000 0.500
Te 0.821 0.321 0.500

Calculated values
Formation energy from raw total energies in meV per atom: -1354
Magnetization in μB/atom: 0.0002
DOS at the Fermi energy in states/eV/cell: 3.88
Electronic total energy in Ry per atom: -0.3875

=====

[3]
First-principles (PBE) data for a relaxed structure of Zn2CoCuH6, as listed in Alexandria via LeMat-Bulk.

Cell lengths 4.570, 4.693, 4.760 Å; angles 68.73, 66.45, 69.33 degrees
Sites, in units of the cell vectors:
Zn 0.000 0.000 0.000
Zn 0.403 0.262 0.348
Co 0.905 0.456 0.194
Cu 0.629 0.574 0.762
H 0.034 0.110 0.358
H 0.235 0.432 0.923
H 0.387 0.959 0.699
H 0.558 0.502 0.466
H 0.763 0.755 0.952
H 0.983 0.609 0.390

Calculated values
Magnetization in μB/atom: 0.0000
Electronic total energy in Ry per atom: -0.2457

=====

[4]
First-principles (PBE) data for a relaxed structure of CePm2PuP4, as listed in Alexandria via LeMat-Bulk.

Cell lengths 7.074, 4.088, 7.079 Å; angles 90.00, 109.54, 90.00 degrees
Sites, in units of the cell vectors:
Ce 0.000 0.000 0.000
Pm 0.000 0.500 0.500
Pm 0.500 0.000 0.500
Pu 0.500 0.500 0.000
P 0.249 0.500 0.242
P 0.256 0.000 0.760
P 0.744 0.000 0.240
P 0.751 0.500 0.758

Calculated values
Magnetization in μB/atom: 0.6901
DOS at the Fermi energy in states/eV/cell: 14.82
ΔE_f in eV/atom: -1.445
Electronic total energy in Ry per atom: -0.5785

=====

Which value of electronic total energy does entry 1 give? -0.2719 Ry per atom

=====

Which of these has the highest magnetization? CePm2PuP4

=====

Among the records above, which one has the lowest electronic total energy? CePm2PuP4